# 1
Below is a geometry-optimized PrGdTc structure, with properties calculated at the PBE-GGA level. Values from VASP.

Geometry as Quantum ESPRESSO input:
```
&SYSTEM
  ibrav = 0, nat = 12, ntyp = 3
/
ATOMIC_SPECIES
Pr 140.91 Pr.upf
Gd 157.25 Gd.upf
Tc 98.00 Tc.upf
ATOMIC_POSITIONS angstrom
Pr 0.0000 0.0000 0.0000
Pr 0.0000 3.4216 3.4216
Pr 3.4216 0.0000 3.4216
Pr 3.4216 3.4216 0.0000
Gd 1.7108 1.7108 1.7108
Gd 1.7108 5.1324 5.1324
Gd 5.1324 1.7108 5.1324
Gd 5.1324 5.1324 1.7108
Tc 0.0000 0.0000 3.4216
Tc 0.0000 3.4216 0.0000
Tc 3.4216 0.0000 0.0000
Tc 3.4216 3.4216 3.4216
CELL_PARAMETERS angstrom
6.8432 0.0000 0.0000
0.0000 6.8432 0.0000
0.0000 0.0000 6.8432
```

## Properties
**Space-group type**: No. 216
**Formation energy from the elements**: 89.1 kJ per mole of atoms

---

# 2
Below is a geometry-optimized PrGeHO4 structure, with properties calculated at the PBE-GGA level. Values from VASP.

Geometry as Quantum ESPRESSO input:
```
&SYSTEM
  ibrav = 0, nat = 28, ntyp = 4
/
ATOMIC_SPECIES
Pr 140.91 Pr.upf
Ge 72.64 Ge.upf
H 1.01 H.upf
O 16.00 O.upf
ATOMIC_POSITIONS angstrom
Pr 0.0000 1.4554 1.2245
Pr 0.0000 10.6140 3.6736
Pr 2.6604 4.5793 3.6736
Pr 2.6604 7.4901 1.2245
Ge 0.0000 4.7307 1.2245
Ge 0.0000 7.3387 3.6736
Ge 2.6604 1.3040 3.6736
Ge 2.6604 10.7654 1.2245
H 0.0000 3.6460 3.6736
H 0.0000 8.4234 1.2245
H 2.6604 2.3887 1.2245
H 2.6604 9.6807 3.6736
O 0.5638 3.6190 2.5680
O 0.5638 8.4504 0.1189
O 1.2766 0.5188 2.9823
O 1.2766 11.5506 0.5332
O 1.3838 5.5159 0.5332
O 1.3838 6.5535 2.9823
O 2.0966 2.4157 0.1189
O 2.0966 9.6536 2.5680
O 3.2242 2.4157 2.3302
O 3.2242 9.6536 4.7792
O 3.9370 5.5159 1.9158
O 3.9370 6.5535 4.3649
O 4.0442 0.5188 4.3649
O 4.0442 11.5506 1.9158
O 4.7570 3.6190 4.7792
O 4.7570 8.4504 2.3302
CELL_PARAMETERS angstrom
5.3208 0.0000 0.0000
0.0000 12.0694 0.0000
0.0000 0.0000 4.8981
```

## Properties
**Space-group type**: No. 60
**Energy above the lowest structure with this stoichiometry**: 21 meV per atom

---

# 3
Below is a geometry-optimized ZnCuMoOs structure, with properties calculated at the PBE-GGA level. Values from VASP.

Geometry as Quantum ESPRESSO input:
```
&SYSTEM
  ibrav = 0, nat = 16, ntyp = 4
/
ATOMIC_SPECIES
Zn 65.41 Zn.upf
Cu 63.55 Cu.upf
Mo 95.94 Mo.upf
Os 190.23 Os.upf
ATOMIC_POSITIONS angstrom
Zn 0.0000 0.0000 0.0000
Zn 0.0000 3.0449 3.0449
Zn 3.0449 0.0000 3.0449
Zn 3.0449 3.0449 0.0000
Cu 1.5225 1.5225 1.5225
Cu 1.5225 4.5674 4.5674
Cu 4.5674 1.5225 4.5674
Cu 4.5674 4.5674 1.5225
Mo 0.0000 0.0000 3.0449
Mo 0.0000 3.0449 0.0000
Mo 3.0449 0.0000 0.0000
Mo 3.0449 3.0449 3.0449
Os 1.5225 1.5225 4.5674
Os 1.5225 4.5674 1.5225
Os 4.5674 1.5225 1.5225
Os 4.5674 4.5674 4.5674
CELL_PARAMETERS angstrom
6.0899 0.0000 0.0000
0.0000 6.0899 0.0000
0.0000 0.0000 6.0899
```

## Properties
**Space-group type**: No. 216
**Formation energy from the elements**: 17.9 kJ per mole of atoms
**Energy above the lowest structure with this stoichiometry**: 0 meV per atom

---

# 4
Below is a geometry-optimized TbPaIn structure, with properties calculated at the PBE-GGA level. Values from VASP.

Geometry as Quantum ESPRESSO input:
```
&SYSTEM
  ibrav = 0, nat = 12, ntyp = 3
/
ATOMIC_SPECIES
Tb 158.93 Tb.upf
Pa 231.04 Pa.upf
In 114.82 In.upf
ATOMIC_POSITIONS angstrom
Tb 0.0000 0.0000 0.0000
Tb 0.0000 3.6095 3.6095
Tb 3.6095 0.0000 3.6095
Tb 3.6095 3.6095 0.0000
Pa 0.0000 0.0000 3.6095
Pa 0.0000 3.6095 0.0000
Pa 3.6095 0.0000 0.0000
Pa 3.6095 3.6095 3.6095
In 1.8047 1.8047 5.4142
In 1.8047 5.4142 1.8047
In 5.4142 1.8047 1.8047
In 5.4142 5.4142 5.4142
CELL_PARAMETERS angstrom
7.2190 0.0000 0.0000
0.0000 7.2190 0.0000
0.0000 0.0000 7.2190
```

## Properties
**Space-group type**: No. 216
**Energy above the lowest structure with this stoichiometry**: 0 meV per atom

---

# 5
Below is a geometry-optimized BeCoHgSb structure, with properties calculated at the PBE-GGA level. Values from VASP.

Geometry as Quantum ESPRESSO input:
```
&SYSTEM
  ibrav = 0, nat = 16, ntyp = 4
/
ATOMIC_SPECIES
Be 9.01 Be.upf
Co 58.93 Co.upf
Hg 200.59 Hg.upf
Sb 121.76 Sb.upf
ATOMIC_POSITIONS angstrom
Be 0.0000 0.0000 0.0000
Be 0.0000 3.2039 3.2039
Be 3.2039 0.0000 3.2039
Be 3.2039 3.2039 0.0000
Co 0.0000 0.0000 3.2039
Co 0.0000 3.2039 0.0000
Co 3.2039 0.0000 0.0000
Co 3.2039 3.2039 3.2039
Hg 1.6020 1.6020 4.8059
Hg 1.6020 4.8059 1.6020
Hg 4.8059 1.6020 1.6020
Hg 4.8059 4.8059 4.8059
Sb 1.6020 1.6020 1.6020
Sb 1.6020 4.8059 4.8059
Sb 4.8059 1.6020 4.8059
Sb 4.8059 4.8059 1.6020
CELL_PARAMETERS angstrom
6.4078 0.0000 0.0000
0.0000 6.4078 0.0000
0.0000 0.0000 6.4078
```

## Properties
**Space-group type**: No. 216
**Energy above the lowest structure with this stoichiometry**: 0 meV per atom

---

# 6
Below is a geometry-optimized ThBeCd structure, with properties calculated at the PBE-GGA level. Values from VASP.

Geometry as Quantum ESPRESSO input:
```
&SYSTEM
  ibrav = 0, nat = 12, ntyp = 3
/
ATOMIC_SPECIES
Th 232.04 Th.upf
Be 9.01 Be.upf
Cd 112.41 Cd.upf
ATOMIC_POSITIONS angstrom
Th 0.0000 0.0000 0.0000
Th 0.0000 3.2628 3.2628
Th 3.2628 0.0000 3.2628
Th 3.2628 3.2628 0.0000
Be 1.6314 1.6314 4.8942
Be 1.6314 4.8942 1.6314
Be 4.8942 1.6314 1.6314
Be 4.8942 4.8942 4.8942
Cd 0.0000 0.0000 3.2628
Cd 0.0000 3.2628 0.0000
Cd 3.2628 0.0000 0.0000
Cd 3.2628 3.2628 3.2628
CELL_PARAMETERS angstrom
6.5256 0.0000 0.0000
0.0000 6.5256 0.0000
0.0000 0.0000 6.5256
```

## Properties
**Space-group type**: No. 216
**Raw total energy**: -47.0 eV for the cell shown

---

# 7
Below is a geometry-optimized Ho2Be structure, with properties calculated at the PBE-GGA level. Values from VASP.

Geometry as Quantum ESPRESSO input:
```
&SYSTEM
  ibrav = 0, nat = 12, ntyp = 2
/
ATOMIC_SPECIES
Ho 164.93 Ho.upf
Be 9.01 Be.upf
ATOMIC_POSITIONS angstrom
Ho 1.6795 1.6795 1.6795
Ho 1.6795 1.6795 5.0384
Ho 1.6795 5.0384 1.6795
Ho 1.6795 5.0384 5.0384
Ho 5.0384 1.6795 1.6795
Ho 5.0384 1.6795 5.0384
Ho 5.0384 5.0384 1.6795
Ho 5.0384 5.0384 5.0384
Be 0.0000 0.0000 0.0000
Be 0.0000 3.3590 3.3590
Be 3.3590 0.0000 3.3590
Be 3.3590 3.3590 0.0000
CELL_PARAMETERS angstrom
6.7179 0.0000 0.0000
0.0000 6.7179 0.0000
0.0000 0.0000 6.7179
```

## Properties
**Space-group type**: No. 225
**Energy above the lowest structure with this stoichiometry**: 0 meV per atom

---

# 8
Below is a geometry-optimized Ag2Ge structure, with properties calculated at the PBE-GGA level. Values from VASP.

Geometry as Quantum ESPRESSO input:
```
&SYSTEM
  ibrav = 0, nat = 12, ntyp = 2
/
ATOMIC_SPECIES
Ag 107.87 Ag.upf
Ge 72.64 Ge.upf
ATOMIC_POSITIONS angstrom
Ag 0.1528 0.9611 2.5310
Ag 0.2203 3.2647 4.6613
Ag 2.0833 2.3022 0.3648
Ag 2.1508 4.6057 6.8274
Ag 2.4564 1.8223 6.0619
Ag 2.5239 5.0856 3.9316
Ag 4.3869 0.4812 8.2281
Ag 4.4544 3.7446 1.7655
Ge 0.1331 0.4211 5.3996
Ge 2.1705 5.1458 1.1032
Ge 2.4367 2.3623 3.1933
Ge 4.4741 3.2045 7.4897
CELL_PARAMETERS angstrom
4.6072 0.0000 0.0000
0.0000 5.5669 0.0000
0.0000 0.0000 8.5929
```

## Properties
**Space-group type**: No. 19
**Energy above the lowest structure with this stoichiometry**: 3 meV per atom

---

# 9
Below is a geometry-optimized Er4InSnB2 structure, with properties calculated at the PBE-GGA level. Values from VASP.

Geometry as Quantum ESPRESSO input:
```
&SYSTEM
  ibrav = 0, nat = 8, ntyp = 4
/
ATOMIC_SPECIES
Er 167.26 Er.upf
In 114.82 In.upf
Sn 118.71 Sn.upf
B 10.81 B.upf
ATOMIC_POSITIONS angstrom
Er 0.0000 0.0000 2.5662
Er 0.0000 0.0000 14.0304
Er 0.0000 2.0801 5.6271
Er 0.0000 2.0801 10.9694
In 0.0000 0.0000 8.2983
Sn 0.0000 2.0801 0.0000
B 1.8014 1.0400 4.0915
B 1.8014 1.0400 12.5050
CELL_PARAMETERS angstrom
3.6028 0.0000 0.0000
-1.8014 3.1201 0.0000
0.0000 0.0000 16.5965
```

## Properties
**Space-group type**: No. 187
**Raw total energy**: -40.0 eV for the cell shown

---

# 10
Below is a geometry-optimized Cu12Te structure, with properties calculated at the PBE-GGA level. Values from VASP.

Geometry as Quantum ESPRESSO input:
```
&SYSTEM
  ibrav = 0, nat = 26, ntyp = 2
/
ATOMIC_SPECIES
Cu 63.55 Cu.upf
Te 127.60 Te.upf
ATOMIC_POSITIONS angstrom
Cu 6.1409 0.6641 1.0811
Cu -0.7693 1.9924 31.6899
Cu -0.1232 0.6641 5.3743
Cu -0.0755 1.9924 3.2410
Cu -0.1761 1.9924 7.5480
Cu 1.7797 0.6641 8.2890
Cu 1.8807 1.9924 6.1067
Cu 1.4117 1.9924 25.9984
Cu 1.3175 1.9924 30.2495
Cu 1.9629 0.6641 3.9629
Cu 1.2700 0.6641 32.4127
Cu 2.0142 1.9924 1.8069
Cu 1.3814 0.6641 28.1086
Cu 3.9902 1.9924 4.6624
Cu 3.3574 0.6641 30.9641
Cu 4.1016 1.9924 0.3583
Cu 3.4087 1.9924 28.8081
Cu 4.0541 0.6641 2.5215
Cu 3.9600 0.6641 6.7726
Cu 3.4909 0.6641 26.6643
Cu 3.5919 1.9924 24.4820
Cu 5.5477 0.6641 25.2230
Cu 5.4472 0.6641 29.5300
Cu 5.4948 1.9924 27.3967
Te 1.4391 0.6641 23.4207
Te 3.9325 1.9924 9.3504
CELL_PARAMETERS angstrom
6.1688 0.0000 0.0000
0.0000 2.6565 0.0000
-0.7972 0.0000 32.7710
```

## Properties
**Space-group type**: No. 11
**Energy above the lowest structure with this stoichiometry**: 49 meV per atom